(1)
{"formula": "Ca2ZnCl6", "functional": "GGA-PBE", "state": "optimized geometry", "cell": [[6.295, 0.000, 0.000], [0.000, 6.295, 0.000], [0.000, 0.000, 12.009]], "species": ["Ca", "Ca", "Ca", "Ca", "Zn", "Zn", "Cl", "Cl", "Cl", "Cl", "Cl", "Cl", "Cl", "Cl", "Cl", "Cl", "Cl", "Cl"], "frac_coords": [[0.000, 0.000, 0.166], [0.000, 0.000, 0.834], [0.500, 0.500, 0.334], [0.500, 0.500, 0.666], [0.000, 0.000, 0.500], [0.500, 0.500, 0.000], [0.189, 0.189, 0.347], [0.189, 0.189, 0.653], [0.212, 0.212, 0.000], [0.288, 0.712, 0.500], [0.311, 0.689, 0.153], [0.311, 0.689, 0.847], [0.689, 0.311, 0.153], [0.689, 0.311, 0.847], [0.712, 0.288, 0.500], [0.788, 0.788, 0.000], [0.811, 0.811, 0.347], [0.811, 0.811, 0.653]], "dft_energy_ev_per_atom": -3.74, "m_tot_mub_per_fu": 0.0}

---

(2)
{"formula": "CaZn2Cl6", "functional": "GGA-PBE", "state": "optimized geometry", "cell": [[6.432, -2.488, 0.000], [6.432, 2.488, 0.000], [-1.816, 0.000, 7.947]], "species": ["Ca", "Zn", "Zn", "Cl", "Cl", "Cl", "Cl", "Cl", "Cl"], "frac_coords": [[0.000, 0.000, 0.000], [0.234, 0.234, 0.666], [0.766, 0.766, 0.334], [0.069, 0.069, 0.715], [0.238, 0.238, 0.375], [0.374, 0.374, 0.900], [0.626, 0.626, 0.100], [0.762, 0.762, 0.625], [0.931, 0.931, 0.285]], "dft_energy_ev_per_atom": -3.21, "m_tot_mub_per_fu": 0.0}